A geometry-optimized W3CSe structure, computed with PBE-GGA.

Cell: 4.214 4.214 4.214 Å, 90.00 90.00 90.00°
Space group Pm-3m (No. 221)
Inequivalent atoms, fractional coordinates:
W (0.000, 0.000, 0.500) x3
C (0.000, 0.000, 0.000) x1
Se (0.500, 0.500, 0.500) x1

Properties
- Total moment: 0.0 μB per formula unit
- Raw formation energy: 712 meV/atom

=====

A geometry-optimized Pu2AuS2N2 structure, computed with PBE-GGA.

Cell: 3.6896 3.6896 11.8109 Å, 90.00 90.00 120.00°
Space group P-3m1 (No. 164)
Inequivalent atoms, fractional coordinates:
Pu (0.3333, 0.6667, 0.2943) x2
Au (0.0000, 0.0000, 0.5000) x1
S (0.0000, 0.0000, 0.1614) x2
N (0.3333, 0.6667, 0.6395) x2

Properties
- Total moment: 7.0 μB per formula unit
- Raw formation energy: -685 meV/atom

=====

A geometry-optimized Li3CuSi2 structure, computed with PBE-GGA.

Cell: 6.143 14.232 5.106 Å, 90.00 126.41 90.00°
Space group C2/c (No. 15)
Inequivalent atoms, fractional coordinates:
Li (0.000, 0.011, 0.250) x4
Li (0.204, 0.185, 0.183) x8
Cu (0.000, 0.469, 0.750) x4
Si (0.185, 0.378, 0.234) x8

Properties
- Total moment: 0.0 μB per formula unit
- Raw formation energy: -166 meV/atom

=====

A geometry-optimized KRb3Zn2H8 structure, computed with PBE-GGA.

Cell: 6.1205 6.1205 8.1293 Å, 90.00 90.00 120.00°
Space group P-3m1 (No. 164)
Inequivalent atoms, fractional coordinates:
K (0.0000, 0.0000, 0.0000) x1
Rb (0.0000, 0.0000, 0.5000) x1
Rb (0.3333, 0.6667, 0.1939) x2
Zn (0.3333, 0.6667, 0.7277) x2
H (0.1863, 0.3725, 0.8014) x6
H (0.3333, 0.6667, 0.5274) x2

Properties
- Total moment: 0.0 μB per formula unit
- VASP energy: -36.50 eV for the cell shown

=====

A geometry-optimized RbTlBP structure, computed with PBE-GGA.

Cell: 10.847 4.289 5.540 Å, 90.00 101.85 90.00°
Space group Cm (No. 8)
Inequivalent atoms, fractional coordinates:
Rb (0.000, 0.000, 0.000) x2
Tl (0.178, 0.500, 0.634) x2
B (0.256, 0.000, 0.502) x2
P (0.405, 0.000, 0.423) x2

Properties
- Total moment: 0.0 μB per formula unit
- ΔE_f: 0.327 eV/atom

=====

A geometry-optimized ReAgAu2 structure, computed with PBE-GGA.

Cell: 6.517 6.517 6.517 Å, 90.00 90.00 90.00°
Space group Fm-3m (No. 225)
Inequivalent atoms, fractional coordinates:
Re (0.000, 0.000, 0.000) x4
Ag (0.000, 0.000, 0.500) x4
Au (0.250, 0.250, 0.250) x8

Properties
- Total moment: 2.0 μB per formula unit
- ΔE_f: 0.671 eV/atom

=====

- Number 4 is which compound?
  KRb3Zn2H8